No. 1
Y5Ge10Rh4: optimized geometry, GGA-PBE.

The crystal system is tetragonal. The calculation puts the formation energy at -15.58 eV per formula unit. For the mass density, the calculation gives 7.134 Mg/m³. As for the final energy: -6.499 eV/atom. The value obtained for the density of states at the Fermi level is 0.505 states/eV per atom. The calculation puts the size of the total moment at 0.000 Bohr magnetons per cell.

The space group is P4/mbm (No. 127) and the conventional cell measures 13.062, 13.062 and 4.318 Å, with angles of 90.00, 90.00 and 90.00 degrees. Symmetry generates all atoms from Y at (0.000, 0.000, 0.000), Y at (0.113, 0.387, 0.500), Y at (0.175, 0.675, 0.500), Ge at (0.002, 0.842, 0.500), Ge at (0.067, 0.567, 0.000), Ge at (0.162, 0.200, 0.000) and Rh at (0.022, 0.755, 0.000).

No. 2
AsAuSeCl2: optimized geometry, GGA-PBE.

The crystal system is tetragonal. For the mass density, the calculation gives 5.579 Mg/m³. As for the final energy: -2.812 eV/atom. The value obtained for the density of states at the Fermi level is 0.237 states/eV per atom. The formation energy without anion corrections comes out at 4.8 kcal/mol of atoms. The calculation puts the size of the total moment at 0.000 Bohr magnetons per cell.

The space group is P4/mmm (No. 123) and the conventional cell measures 4.755, 4.755 and 5.552 Å, with angles of 90.00, 90.00 and 90.00 degrees. Symmetry generates all atoms from As at (0.000, 0.000, 0.000), Au at (0.500, 0.500, 0.500), Se at (0.000, 0.000, 0.500) and Cl at (0.000, 0.500, 0.000).

No. 3
La2PtO: optimized geometry, GGA-PBE.

The crystal system is monoclinic. For the mass density, the calculation gives 8.307 Mg/m³. As for the final energy: -7.109 eV/atom. The value obtained for the density of states at the Fermi level is 0.731 states/eV per atom. The formation energy without anion corrections comes out at -43.7 kcal/mol of atoms. The calculation puts the size of the total moment at 0.000 Bohr magnetons per cell.

The space group is P2/c (No. 13) and the conventional cell measures 6.039, 6.081 and 11.952 Å, with angles of 90.00, 117.05 and 90.00 degrees. Symmetry generates all atoms from La at (0.092, 0.239, 0.104), La at (0.327, 0.213, 0.855), Pt at (0.389, 0.287, 0.376) and O at (0.047, 0.149, 0.624).

No. 4
Tm2PbO2: optimized geometry, GGA-PBE.

The crystal system is tetragonal. For the mass density, the calculation gives 9.524 Mg/m³. As for the final energy: -7.115 eV/atom. The value obtained for the density of states at the Fermi level is 0.350 states/eV per atom. The formation energy without anion corrections comes out at -60.0 kcal/mol of atoms. The calculation puts the size of the total moment at 0.000 Bohr magnetons per cell.

The space group is I4/mmm (No. 139) and the conventional cell measures 3.790, 3.790 and 14.011 Å, with angles of 90.00, 90.00 and 90.00 degrees. Symmetry generates all atoms from Tm at (0.000, 0.000, 0.172), Pb at (0.000, 0.000, 0.500) and O at (0.000, 0.500, 0.250).

No. 5
Ce2IrPd: optimized geometry, GGA-PBE.

The crystal system is orthorhombic. The calculation puts the formation energy at -2.51 eV per formula unit. For the mass density, the calculation gives 9.855 Mg/m³. As for the final energy: -7.107 eV/atom. The value obtained for the density of states at the Fermi level is 2.033 states/eV per atom. The calculation puts the size of the total moment at 4.456 Bohr magnetons per cell.

The space group is Pnma (No. 62) and the conventional cell measures 8.466, 4.116 and 11.197 Å, with angles of 90.00, 90.00 and 90.00 degrees. Symmetry generates all atoms from Ce at (0.015, 0.250, 0.222), Ce at (0.183, 0.750, 0.477), Ir at (0.120, 0.250, 0.650) and Pd at (0.083, 0.750, 0.050).

No. 6
Rb2BeSeCl6: optimized geometry, GGA-PBE.

The crystal system is tetragonal. For the mass density, the calculation gives 2.749 Mg/m³. As for the final energy: -3.095 eV/atom. The value obtained for the density of states at the Fermi level is 0.061 states/eV per atom. The formation energy without anion corrections comes out at -24.7 kcal/mol of atoms. The calculation puts the size of the total moment at 4.000 Bohr magnetons per cell.

The space group is I4/mmm (No. 139) and the conventional cell measures 7.377, 7.377 and 10.470 Å, with angles of 90.00, 90.00 and 90.00 degrees. Symmetry generates all atoms from Rb at (0.000, 0.500, 0.250), Be at (0.000, 0.000, 0.000), Se at (0.000, 0.000, 0.500), Cl at (0.000, 0.000, 0.274) and Cl at (0.207, 0.207, 0.000).

No. 7
La2YNb: optimized geometry, GGA-PBE.

The crystal system is cubic. The calculation puts the formation energy at 1.42 eV per formula unit. For the mass density, the calculation gives 6.676 Mg/m³. As for the final energy: -6.241 eV/atom. The value obtained for the density of states at the Fermi level is 0.845 states/eV per atom. The calculation puts the size of the total moment at 0.000 Bohr magnetons per cell.

The space group is Fm-3m (No. 225) and the conventional cell measures 7.704, 7.704 and 7.704 Å, with angles of 90.00, 90.00 and 90.00 degrees. Symmetry generates all atoms from La at (0.250, 0.250, 0.250), Y at (0.000, 0.000, 0.000) and Nb at (0.000, 0.000, 0.500).

No. 8
Li2InBiAu4: optimized geometry, GGA-PBE.

The crystal system is trigonal. The calculation puts the formation energy at -2.74 eV per formula unit. For the mass density, the calculation gives 11.973 Mg/m³. As for the final energy: -3.287 eV/atom. The value obtained for the density of states at the Fermi level is 0.367 states/eV per atom. The calculation puts the size of the total moment at 0.000 Bohr magnetons per cell.

The space group is R-3m (No. 166, hexagonal axes) and the conventional cell measures 4.7602, 4.7602 and 23.8649 Å, with angles of 90.00, 90.00 and 120.00 degrees. Symmetry generates all atoms from Li at (0.0000, 0.0000, 0.2503), In at (0.0000, 0.0000, 0.0000), Bi at (0.0000, 0.0000, 0.5000), Au at (0.0000, 0.0000, 0.1184) and Au at (0.0000, 0.0000, 0.3687).

No. 9
Er6Ge2AsS3: optimized geometry, GGA-PBE.

The crystal system is monoclinic. For the mass density, the calculation gives 8.048 Mg/m³. As for the final energy: -6.029 eV/atom. The value obtained for the density of states at the Fermi level is 0.170 states/eV per atom. The formation energy without anion corrections comes out at -36.0 kcal/mol of atoms. The calculation puts the size of the total moment at 0.001 Bohr magnetons per cell.

The space group is C2/m (No. 12) and the conventional cell measures 17.411, 4.014 and 7.991 Å, with angles of 90.00, 102.79 and 90.00 degrees. Symmetry generates all atoms from Er at (0.002, 0.000, 0.251), Er at (0.167, 0.500, 0.087), Er at (0.167, 0.500, 0.582), Ge at (0.167, 0.000, 0.333), As at (0.000, 0.500, 0.000), S at (0.000, 0.500, 0.500) and S at (0.165, 0.000, 0.834).

No. 10
HfSb2Ru: optimized geometry, GGA-PBE.

The crystal system is tetragonal. For the mass density, the calculation gives 9.790 Mg/m³. As for the final energy: -6.737 eV/atom. The value obtained for the density of states at the Fermi level is 0.571 states/eV per atom. The formation energy without anion corrections comes out at 3.0 kcal/mol of atoms. The calculation puts the size of the total moment at 0.000 Bohr magnetons per cell.

The space group is I-42d (No. 122) and the conventional cell measures 4.308, 4.308 and 19.124 Å, with angles of 90.00, 90.00 and 90.00 degrees. Symmetry generates all atoms from Hf at (0.000, 0.000, 0.000), Sb at (0.229, 0.250, 0.625) and Ru at (0.000, 0.000, 0.500).

No. 11
Ti2ZnBi: optimized geometry, GGA-PBE.

The crystal system is cubic. The calculation puts the formation energy at 0.39 eV per formula unit. For the mass density, the calculation gives 8.156 Mg/m³. As for the final energy: -5.138 eV/atom. The value obtained for the density of states at the Fermi level is 1.498 states/eV per atom. The calculation puts the size of the total moment at 0.000 Bohr magnetons per cell.

The space group is Fm-3m (No. 225) and the conventional cell measures 6.705, 6.705 and 6.705 Å, with angles of 90.00, 90.00 and 90.00 degrees. Symmetry generates all atoms from Ti at (0.250, 0.250, 0.250), Zn at (0.000, 0.000, 0.000) and Bi at (0.000, 0.000, 0.500).

No. 12
Sr2GdAg: optimized geometry, GGA-PBE.

The crystal system is tetragonal. The calculation puts the formation energy at -0.08 eV per formula unit. For the mass density, the calculation gives 5.030 Mg/m³. As for the final energy: -5.093 eV/atom. The value obtained for the density of states at the Fermi level is 1.930 states/eV per atom. The calculation puts the size of the total moment at 8.428 Bohr magnetons per cell.

The space group is P4/mmm (No. 123) and the conventional cell measures 3.858, 3.858 and 9.769 Å, with angles of 90.00, 90.00 and 90.00 degrees. Symmetry generates all atoms from Sr at (0.000, 0.000, 0.204), Gd at (0.500, 0.500, 0.500) and Ag at (0.500, 0.500, 0.000).

No. 13
YCr2Ag: optimized geometry, GGA-PBE.

The crystal system is monoclinic. The calculation puts the formation energy at 2.63 eV per formula unit. For the mass density, the calculation gives 6.223 Mg/m³. As for the final energy: -6.482 eV/atom. The value obtained for the density of states at the Fermi level is 0.956 states/eV per atom. The calculation puts the size of the total moment at 14.671 Bohr magnetons per cell.

The space group is C2/m (No. 12) and the conventional cell measures 5.986, 9.710 and 3.095 Å, with angles of 90.00, 116.87 and 90.00 degrees. Symmetry generates all atoms from Y at (0.000, 0.000, 0.000), Cr at (0.250, 0.250, 0.500) and Ag at (0.000, 0.500, 0.000).

No. 14
Tc2P3: optimized geometry, GGA-PBE.

The crystal system is monoclinic. The calculation puts the formation energy at -2.66 eV per formula unit. For the mass density, the calculation gives 6.621 Mg/m³. As for the final energy: -7.924 eV/atom. The value obtained for the density of states at the Fermi level is 0.354 states/eV per atom. The calculation puts the size of the total moment at 0.000 Bohr magnetons per cell.

The space group is C2/m (No. 12) and the conventional cell measures 12.403, 3.113 and 9.032 Å, with angles of 90.00, 123.80 and 90.00 degrees. Symmetry generates all atoms from Tc at (0.135, 0.000, 0.355), Tc at (0.250, 0.000, 0.137), P at (0.088, 0.000, 0.822), P at (0.098, 0.500, 0.128) and P at (0.110, 0.500, 0.540).

No. 15
FeTc2Os: optimized geometry, GGA-PBE.

The crystal system is tetragonal. The calculation puts the formation energy at 0.35 eV per formula unit. For the mass density, the calculation gives 13.387 Mg/m³. As for the final energy: -10.018 eV/atom. The value obtained for the density of states at the Fermi level is 1.176 states/eV per atom. The calculation puts the size of the total moment at 2.268 Bohr magnetons per cell.

The space group is I-4m2 (No. 119) and the conventional cell measures 3.812, 3.812 and 7.547 Å, with angles of 90.00, 90.00 and 90.00 degrees. Symmetry generates all atoms from Fe at (0.000, 0.000, 0.000), Tc at (0.000, 0.000, 0.500), Tc at (0.000, 0.500, 0.250) and Os at (0.000, 0.500, 0.750).

No. 16
Dy4In2Ag: optimized geometry, GGA-PBE.

The crystal system is trigonal. The calculation puts the formation energy at -1.86 eV per formula unit. For the mass density, the calculation gives 8.169 Mg/m³. As for the final energy: -4.086 eV/atom. The value obtained for the density of states at the Fermi level is 0.977 states/eV per atom. The calculation puts the size of the total moment at 0.000 Bohr magnetons per cell.

The space group is R-3m (No. 166, hexagonal axes) and the conventional cell measures 5.2253, 5.2253 and 25.4688 Å, with angles of 90.00, 90.00 and 120.00 degrees. Symmetry generates all atoms from Dy at (0.0000, 0.0000, 0.1231), Dy at (0.0000, 0.0000, 0.3739), In at (0.0000, 0.0000, 0.2508) and Ag at (0.0000, 0.0000, 0.5000).

No. 17
BaGeBRh3: optimized geometry, GGA-PBE.

The crystal system is orthorhombic. The calculation puts the formation energy at -2.76 eV per formula unit. For the mass density, the calculation gives 7.980 Mg/m³. As for the final energy: -6.338 eV/atom. The value obtained for the density of states at the Fermi level is 0.425 states/eV per atom. The calculation puts the size of the total moment at 0.000 Bohr magnetons per cell.

The space group is Cmcm (No. 63) and the conventional cell measures 5.968, 12.505 and 5.906 Å, with angles of 90.00, 90.00 and 90.00 degrees. Symmetry generates all atoms from Ba at (0.000, 0.250, 0.250), Ge at (0.000, 0.108, 0.750), B at (0.000, 0.469, 0.750), Rh at (0.000, 0.307, 0.750) and Rh at (0.241, 0.500, 0.000).

No. 18
CaY2HoBi4: optimized geometry, GGA-PBE.

The crystal system is monoclinic. The calculation puts the formation energy at -6.54 eV per formula unit. For the mass density, the calculation gives 7.804 Mg/m³. As for the final energy: -5.197 eV/atom. The value obtained for the density of states at the Fermi level is 0.381 states/eV per atom. The calculation puts the size of the total moment at 0.000 Bohr magnetons per cell.

The space group is P2/m (No. 10) and the conventional cell measures 7.829, 4.473 and 7.835 Å, with angles of 90.00, 109.07 and 90.00 degrees. Symmetry generates all atoms from Ca at (0.000, 0.000, 0.000), Y at (0.500, 0.000, 0.500), Y at (0.500, 0.500, 0.000), Ho at (0.000, 0.500, 0.500), Bi at (0.251, 0.000, 0.747) and Bi at (0.255, 0.500, 0.256).

No. 19
MgSbPO2: optimized geometry, GGA-PBE.

The crystal system is tetragonal. For the mass density, the calculation gives 3.339 Mg/m³. As for the final energy: -4.388 eV/atom. The value obtained for the density of states at the Fermi level is 0.745 states/eV per atom. The formation energy without anion corrections comes out at -4.1 kcal/mol of atoms. The calculation puts the size of the total moment at 1.759 Bohr magnetons per cell.

The space group is P4/mmm (No. 123) and the conventional cell measures 3.843, 3.843 and 7.038 Å, with angles of 90.00, 90.00 and 90.00 degrees. Symmetry generates all atoms from Mg at (0.000, 0.000, 0.000), Sb at (0.000, 0.000, 0.500), P at (0.500, 0.500, 0.500) and O at (0.000, 0.500, 0.000).

No. 20
SbAsIr3: optimized geometry, GGA-PBE.

The crystal system is cubic. For the mass density, the calculation gives 11.246 Mg/m³. As for the final energy: -5.354 eV/atom. The value obtained for the density of states at the Fermi level is 1.314 states/eV per atom. The formation energy without anion corrections comes out at 39.6 kcal/mol of atoms. The calculation puts the size of the total moment at 0.960 Bohr magnetons per cell.

The space group is Pm-3m (No. 221) and the conventional cell measures 4.852, 4.852 and 4.852 Å, with angles of 90.00, 90.00 and 90.00 degrees. Symmetry generates all atoms from Sb at (0.000, 0.000, 0.000), As at (0.500, 0.500, 0.500) and Ir at (0.000, 0.000, 0.500).